{
  "formula": "OsPd",
  "functional": "PBE",
  "state": "optimized geometry",
  "spacegroup": "R-3m",
  "crystal_system": "trigonal",
  "e_form_ev_per_atom": 0.287,
  "lattice_angstrom": [[-1.610, 2.150, 0.498], [-1.057, -2.277, -1.077], [-2.486, -4.763, 12.515]],
  "species": ["Os", "Os", "Os", "Pd", "Pd", "Pd"],
  "frac_coords": [[0.000, 0.000, 0.500], [0.333, 0.667, 0.167], [0.667, 0.333, 0.833], [0.000, 0.000, 0.000], [0.333, 0.667, 0.667], [0.667, 0.333, 0.333]]
}